(1)
Ta2HgP | meta-GGA SCAN | single point on PBEsol structure

POSCAR file:
```
Ta2HgP
1.0
3.9058 0.0000 0.0000
0.0000 3.9058 0.0000
-1.9529 -1.9529 4.4485
Ta Hg P
2 1 1
Direct
0.0000 0.0000 0.0000
0.7500 0.2500 0.5000
0.5000 0.5000 0.0000
0.2500 0.7500 0.5000
```

Computed properties:
**Magnetization**: 0.00 μB per formula unit
**Volume**: 67.9 Å³ per cell
**Mass density**: 14.5 g cm⁻³
**Energy above the lowest structure with this stoichiometry**: 118 meV per atom



(2)
Tc2HgP | meta-GGA SCAN | single point on PBEsol structure

POSCAR file:
```
Tc2HgP
1.0
3.2734 0.0000 0.0000
-1.6367 3.1512 -0.4275
0.0000 -1.3282 6.5697
Tc Hg P
2 1 1
Direct
0.9495 0.8990 0.8308
0.7075 0.4150 0.1696
0.5168 0.0335 0.5020
0.3262 0.6525 0.9976
```

Computed properties:
**Magnetization**: 0.00 μB per formula unit
**Volume**: 65.9 Å³ per cell
**Mass density**: 10.8 g cm⁻³
**Energy above the lowest structure with this stoichiometry**: 40 meV per atom



(3)
TcHgP2 | meta-GGA SCAN | single point on PBEsol structure

POSCAR file:
```
TcHgP2
1.0
-3.3470 -1.2306 1.1971
1.3290 -3.5176 0.1000
2.2596 2.9632 3.4536
P Tc Hg
2 1 1
Direct
0.0000 0.0000 0.0000
0.7500 0.2500 0.5000
0.5000 0.5000 0.0000
0.2500 0.7500 0.5000
```

Computed properties:
**Magnetization**: 0.00 μB per formula unit
**Volume**: 61.3 Å³ per cell
**Mass density**: 9.8 g cm⁻³



(4)
TcHgP2 | meta-GGA SCAN | single point on PBEsol structure

POSCAR file:
```
TcHgP2
1.0
-2.0361 2.0946 -0.4055
-2.0014 0.5369 2.0985
4.4432 7.2574 4.4531
Tc Hg P
1 1 2
Direct
0.5000 0.5000 0.5000
0.0000 0.0000 0.0000
0.7730 0.7730 0.6809
0.2270 0.2270 0.3191
```

Computed properties:
**Magnetization**: 0.00 μB per formula unit
**Volume**: 71.2 Å³ per cell
**Mass density**: 8.4 g cm⁻³



Energy of formation from the pure elements for every record listed, in sequence, given in eV per atom: 0.35; 0.08; 0.80; -0.04.